{
  "formula": "ZrAlSe2",
  "functional": "PBE",
  "state": "optimized geometry",
  "lattice_angstrom": [[-1.7687, -2.4759, 2.4023], [4.0898, -3.7641, -0.8683], [1.9215, 1.4231, 2.8814]],
  "species": ["Al", "Se", "Zr", "Se"],
  "frac_coords": [[0.0000, 0.5000, 0.5000], [0.0000, 0.0000, 0.0000], [0.5000, 0.0000, 0.5000], [0.5000, 0.5000, 0.0000]],
  "total_magnetization_mub_per_fu": 0.0,
  "density_g_cm3": 5.6,
  "raw_formation_energy_mev_per_atom": -490,
  "space_group": "Pmmm"
}

***

{
  "formula": "LaMg2Co",
  "functional": "PBE",
  "state": "optimized geometry",
  "lattice_angstrom": [[3.2948, 0.0000, 0.0000], [0.0000, 3.2948, 0.0000], [0.0000, 0.0000, 8.2501]],
  "species": ["La", "Mg", "Mg", "Co"],
  "frac_coords": [[0.5000, 0.5000, 0.6872], [0.5000, 0.5000, 0.3023], [0.0000, 0.0000, 0.0363], [0.0000, 0.0000, 0.4742]],
  "ef_ev_per_atom": 0.02,
  "total_magnetization_mub_per_fu": 0.5,
  "density_g_cm3": 4.6,
  "space_group": "P4mm"
}

***

{
  "formula": "RbCaInTe3",
  "functional": "PBE",
  "state": "optimized geometry",
  "lattice_angstrom": [[4.6616, 0.0000, 0.0000], [0.0000, 9.4079, -0.5526], [0.0000, -3.1837, 11.1242]],
  "species": ["Te", "Ca", "Te", "Te", "Te", "In", "Te", "Rb", "Ca", "In", "Rb", "Te"],
  "frac_coords": [[0.2500, 0.4917, 0.8179], [0.2500, 0.6763, 0.0952], [0.2500, 0.8054, 0.4761], [0.7500, 0.5083, 0.1821], [0.7500, 0.1946, 0.5239], [0.7500, 0.8642, 0.3515], [0.2500, 0.0741, 0.8685], [0.2500, 0.2552, 0.2558], [0.7500, 0.3237, 0.9048], [0.2500, 0.1358, 0.6485], [0.7500, 0.7448, 0.7442], [0.7500, 0.9259, 0.1315]],
  "total_magnetization_mub_per_fu": 0.0,
  "density_g_cm3": 4.3,
  "raw_formation_energy_mev_per_atom": -923,
  "space_group": "P2_1/m"
}

***

{
  "formula": "LaPrTm2As4",
  "functional": "PBE",
  "state": "optimized geometry",
  "lattice_angstrom": [[-3.0078, 1.1794, -2.6983], [-4.0391, -5.6988, 2.0113], [-4.2719, 1.8969, 5.5911]],
  "species": ["Pr", "Tm", "As", "La", "Tm", "As", "As", "As"],
  "frac_coords": [[0.0000, 0.5000, 0.5000], [0.5000, 0.0000, 0.5000], [0.0000, 0.7663, 0.7436], [0.5000, 0.5000, 0.0000], [0.0000, 0.0000, 0.0000], [0.5000, 0.7657, 0.2457], [0.0000, 0.2337, 0.2564], [0.5000, 0.2343, 0.7543]],
  "ef_ev_per_atom": -1.51,
  "total_magnetization_mub_per_fu": 0.0,
  "density_g_cm3": 7.2,
  "space_group": "P2/m"
}

***

{
  "formula": "RbGaBr2",
  "functional": "PBE",
  "state": "optimized geometry",
  "lattice_angstrom": [[4.0078, 0.0000, 0.0000], [0.0000, 4.0078, 0.0000], [0.0000, 0.0000, 8.0246]],
  "species": ["Br", "Rb", "Ga", "Br"],
  "frac_coords": [[0.0000, 0.0000, 0.7659], [0.5000, 0.5000, 0.5000], [0.5000, 0.5000, 0.0000], [0.0000, 0.0000, 0.2341]],
  "total_magnetization_mub_per_fu": 0.0,
  "density_g_cm3": 4.1,
  "raw_formation_energy_mev_per_atom": -1053,
  "relative_energy_mev_per_atom": 51,
  "space_group": "P4/mmm"
}

***

{
  "formula": "Tb5YHo2Tm",
  "functional": "PBE",
  "state": "optimized geometry",
  "lattice_angstrom": [[5.5852, 0.0000, 0.0000], [-2.7926, 9.9490, 0.0000], [0.0000, 0.0000, 10.5266]],
  "species": ["Tb", "Tb", "Tb", "Tb", "Tm", "Tb", "Tb", "Y", "Tb", "Ho", "Tm", "Ho", "Y", "Ho", "Tb", "Ho", "Tb", "Tb"],
  "frac_coords": [[0.9826, 0.9652, 0.5211], [0.7004, 0.4007, 0.2085], [0.2996, 0.5993, 0.7085], [0.3868, 0.7736, 0.0226], [0.8010, 0.6020, 0.5116], [0.4798, 0.9597, 0.7402], [0.6132, 0.2264, 0.5226], [0.4112, 0.8225, 0.4570], [0.0174, 0.0348, 0.0211], [0.8866, 0.7732, 0.8150], [0.1990, 0.3980, 0.0116], [0.1134, 0.2268, 0.3150], [0.5888, 0.1775, 0.9570], [0.1111, 0.2222, 0.7371], [0.5202, 0.0403, 0.2402], [0.8889, 0.7778, 0.2371], [0.2799, 0.5598, 0.3108], [0.7201, 0.4402, 0.8108]],
  "ef_ev_per_atom": 0.16,
  "total_magnetization_mub_per_fu": 0.0,
  "density_g_cm3": 7.8,
  "space_group": "Cmc2_1"
}

***

{
  "formula": "Y2NbFeSe",
  "functional": "PBE",
  "state": "optimized geometry",
  "lattice_angstrom": [[-0.0775, 3.5044, 4.3008], [-2.7927, -2.5749, 2.0477], [4.2291, -2.7465, 2.3141]],
  "species": ["Fe", "Y", "Se", "Y", "Nb"],
  "frac_coords": [[0.0000, 0.5000, 0.0000], [0.5000, 0.0000, 0.0000], [0.5000, 0.5000, 0.5000], [0.0000, 0.0000, 0.5000], [0.0000, 0.0000, 0.0000]],
  "total_magnetization_mub_per_fu": 1.7,
  "density_g_cm3": 5.1,
  "raw_formation_energy_mev_per_atom": 472,
  "space_group": "P4/mmm"
}

***

{
  "formula": "Ho3In2Hg7",
  "functional": "PBE",
  "state": "optimized geometry",
  "lattice_angstrom": [[4.2575, 0.0000, 0.0000], [0.0000, 4.9079, 0.0000], [0.0000, -2.4539, 15.1836]],
  "species": ["Ho", "Hg", "Hg", "Hg", "In", "Ho", "Hg", "Hg", "In", "Hg", "Ho", "Hg"],
  "frac_coords": [[0.5000, 0.5000, 0.0000], [0.5000, 0.9209, 0.8419], [0.0000, 0.0000, 0.0000], [0.0000, 0.5754, 0.1508], [0.0000, 0.8415, 0.6830], [0.5000, 0.3501, 0.7003], [0.0000, 0.2752, 0.5504], [0.0000, 0.7248, 0.4496], [0.0000, 0.1585, 0.3170], [0.0000, 0.4246, 0.8492], [0.5000, 0.6499, 0.2997], [0.5000, 0.0791, 0.1581]],
  "ef_ev_per_atom": -0.22,
  "total_magnetization_mub_per_fu": 0.0,
  "density_g_cm3": 11.1,
  "space_group": "Cmmm"
}

***

{
  "formula": "LaBe2Pt",
  "functional": "PBE",
  "state": "optimized geometry",
  "lattice_angstrom": [[-3.8976, -2.0583, -0.8491], [1.8507, -2.2848, 3.3917], [-2.1999, 1.0914, 3.0402]],
  "species": ["Be", "Pt", "La", "Be"],
  "frac_coords": [[0.0000, 0.0000, 0.0000], [0.0000, 0.5000, 0.5000], [0.5000, 0.0000, 0.5000], [0.5000, 0.5000, 0.0000]],
  "ef_ev_per_atom": 0.20,
  "total_magnetization_mub_per_fu": 0.0,
  "density_g_cm3": 8.2,
  "space_group": "C2/m"
}

***

{
  "formula": "Mn2Cd",
  "functional": "PBE",
  "state": "optimized geometry",
  "lattice_angstrom": [[1.9935, -6.1603, 0.0000], [1.9935, 6.1603, 0.0000], [0.0000, 0.0000, 4.0166]],
  "species": ["Mn", "Cd", "Mn", "Mn", "Mn", "Cd"],
  "frac_coords": [[0.5886, 0.4114, 0.2500], [0.9114, 0.0886, 0.2500], [0.7480, 0.2520, 0.7500], [0.4114, 0.5886, 0.7500], [0.2520, 0.7480, 0.2500], [0.0886, 0.9114, 0.7500]],
  "ef_ev_per_atom": 0.41,
  "total_magnetization_mub_per_fu": 7.0,
  "density_g_cm3": 7.5,
  "space_group": "Cmcm"
}

***

{
  "formula": "Y2ThSb3",
  "functional": "PBE",
  "state": "optimized geometry",
  "lattice_angstrom": [[6.2915, -0.0099, 0.0000], [0.0142, 8.8508, 0.0000], [0.0000, 0.0000, 13.3002]],
  "species": ["Th", "Y", "Sb", "Y", "Sb", "Y", "Sb", "Sb", "Y", "Sb", "Th", "Y", "Sb", "Sb", "Sb", "Sb", "Th", "Sb", "Y", "Y", "Y", "Sb", "Sb", "Th"],
  "frac_coords": [[0.2496, 0.8741, 0.0811], [0.7504, 0.6235, 0.9160], [0.2504, 0.1310, 0.9145], [0.2509, 0.3749, 0.7477], [0.2504, 0.6310, 0.5855], [0.2496, 0.8765, 0.4160], [0.7496, 0.8690, 0.0855], [0.2504, 0.1201, 0.5857], [0.7491, 0.6251, 0.2523], [0.7496, 0.8799, 0.4143], [0.7504, 0.1259, 0.9189], [0.2509, 0.8749, 0.7523], [0.7496, 0.3799, 0.0857], [0.2504, 0.6201, 0.9143], [0.2491, 0.6250, 0.2506], [0.2491, 0.1250, 0.2494], [0.2496, 0.3741, 0.4189], [0.7509, 0.3750, 0.7494], [0.2496, 0.3765, 0.0840], [0.7491, 0.1251, 0.2477], [0.7504, 0.1235, 0.5840], [0.7496, 0.3690, 0.4145], [0.7509, 0.8750, 0.7506], [0.7504, 0.6259, 0.5811]],
  "total_magnetization_mub_per_fu": 0.0,
  "density_g_cm3": 7.0,
  "raw_formation_energy_mev_per_atom": -1086,
  "space_group": "P2_1/c"
}

***

{
  "formula": "Cr2TeW",
  "functional": "PBE",
  "state": "optimized geometry",
  "lattice_angstrom": [[-1.3944, 0.0362, 4.2711], [4.2364, -1.4361, 0.4229], [0.9735, 2.9579, 0.2928]],
  "species": ["Te", "Cr", "W", "Cr"],
  "frac_coords": [[0.5000, 0.0000, 0.5000], [0.5000, 0.5000, 0.0000], [0.0000, 0.5000, 0.5000], [0.0000, 0.0000, 0.0000]],
  "total_magnetization_mub_per_fu": 2.4,
  "density_g_cm3": 11.2,
  "raw_formation_energy_mev_per_atom": 552,
  "space_group": "Cmmm"
}